Below is PuNp2PaN4 after structural relaxation, with properties calculated at the PBE-GGA level.

Calculated values
- Calculated total energy: -11.637 eV per atom
- Uncorrected formation energy: -1.261 eV/atom
- Density of states at the Fermi level: 19.5 states/eV per cell
- Crystal system: monoclinic
- Volume: 118 Å³/f.u.

Unit cell a=5.9726 b=3.4583 c=6.0443 alpha=90.00 beta=109.43 gamma=90.00
Last column: nearest neighbours and their distance in Å.
Sites, in units of the cell vectors:
Pu (0.0000, 0.0000, 0.0000)  6 N 2.49
Np (0.0000, 0.5000, 0.5000)  6 N 2.45
Np (0.5000, 0.0000, 0.5000)  6 N 2.41
Pa (0.5000, 0.5000, 0.0000)  6 N 2.45-2.46
N (0.2542, 0.0000, 0.7458)  3 Np 2.41-2.45, 2 Pa 2.45, 1 Pu 2.49
N (0.2587, 0.5000, 0.2593)  3 Np 2.41-2.45, 1 Pa 2.46, 2 Pu 2.49
N (0.7413, 0.5000, 0.7407)  3 Np 2.41-2.45, 1 Pa 2.46, 2 Pu 2.49
N (0.7458, 0.0000, 0.2542)  3 Np 2.41-2.45, 2 Pa 2.45, 1 Pu 2.49

=====

Below is PmPuTe2Cl after structural relaxation, with properties calculated at the PBE-GGA level.

Calculated values
- Calculated total energy: -6.871 eV per atom
- Uncorrected formation energy: -1.428 eV/atom
- Density of states at the Fermi level: 28.7 states/eV per cell
- Crystal system: tetragonal
- Volume: 150 Å³/f.u.

Unit cell a=4.4299 b=4.4299 c=15.2634 alpha=90.00 beta=90.00 gamma=90.00
Last column: nearest neighbours and their distance in Å.
Sites, in units of the cell vectors:
Pm (0.2500, 0.2500, 0.0955)  6 Te 3.14-3.23
Pm (0.7500, 0.7500, 0.9045)  6 Te 3.14-3.23
Pu (0.2500, 0.2500, 0.6265)  4 Cl 2.94
Pu (0.7500, 0.7500, 0.3735)  4 Cl 2.94
Te (0.2500, 0.2500, 0.3015)  1 Pm 3.14, 4 Pu 3.32
Te (0.2500, 0.2500, 0.8841)  5 Pm 3.15-3.23
Te (0.7500, 0.7500, 0.1159)  5 Pm 3.15-3.23
Te (0.7500, 0.7500, 0.6985)  1 Pm 3.14, 4 Pu 3.32
Cl (0.2500, 0.7500, 0.5000)  4 Pu 2.94, 4 Cl 3.13
Cl (0.7500, 0.2500, 0.5000)  4 Pu 2.94, 4 Cl 3.13